A relaxed Al2CdIr2 crystal. Source: Alexandria, functional PBE-GGA.

Properties
* ΔH_f (0 K): -0.572 eV per atom
* space-group type: P4/mbm (127)
* offset from the most stable computed form: 0.022 eV/atom
* N(E_F): 2.66 states/eV/cell
* V: 15.59 Å³/atom
* final energy: -58.0 eV for the cell shown
* calculated density: 11.73 g cm⁻³

a = 7.3706 Å, b = 7.3706 Å, c = 2.8705 Å
α = 90.00°, β = 90.00°, γ = 90.00°
Positions (direct):
Al 0.1345 0.3655 0.0000
Al 0.3655 0.8655 0.0000
Al 0.6345 0.1345 0.0000
Al 0.8655 0.6345 0.0000
Cd 0.0000 0.0000 0.0000
Cd 0.5000 0.5000 0.0000
Ir 0.1592 0.6592 0.5000
Ir 0.3408 0.1592 0.5000
Ir 0.6592 0.8408 0.5000
Ir 0.8408 0.3408 0.5000

=====

A relaxed AlCd2Ir crystal. Source: Alexandria, functional PBE-GGA.

Properties
* ΔH_f (0 K): -0.007 eV per atom
* space-group type: P4/mmm (123)
* N(E_F): 1.70 states/eV/cell
* V: 17.34 Å³/atom
* final energy: -14.5 eV for the cell shown
* calculated density: 10.63 g cm⁻³

a = 3.9850 Å, b = 3.9850 Å, c = 4.3676 Å
α = 90.00°, β = 90.00°, γ = 90.00°
Positions (direct):
Al 0.0000 0.0000 0.0000
Cd 0.0000 0.5000 0.5000
Cd 0.5000 0.0000 0.5000
Ir 0.5000 0.5000 0.0000

=====

A relaxed AlCd2Ir crystal. Source: Alexandria, functional PBE-GGA.

Properties
* ΔH_f (0 K): -0.076 eV per atom
* space-group type: R3m (160)
* N(E_F): 1.66 states/eV/cell
* V: 18.42 Å³/atom
* final energy: -14.7 eV for the cell shown
* calculated density: 10.01 g cm⁻³

a = 9.5723 Å, b = 9.5723 Å, c = 9.5723 Å
α = 18.07°, β = 18.07°, γ = 18.07°
Positions (direct):
Al 0.0000 0.0000 0.0000
Cd 0.2440 0.2440 0.2440
Cd 0.4791 0.4791 0.4791
Ir 0.7294 0.7294 0.7294

=====

A relaxed AlCdIr crystal. Source: Alexandria, functional PBE-GGA.

Properties
* ΔH_f (0 K): -0.022 eV per atom
* space-group type: Fmm2 (42)
* N(E_F): 0.78 states/eV/cell
* V: 17.11 Å³/atom
* final energy: -13.6 eV for the cell shown
* calculated density: 10.73 g cm⁻³

a = 7.4564 Å, b = 7.1857 Å, c = 2.8821 Å
α = 83.98°, β = 73.41°, γ = 22.61°
Positions (direct):
Al 0.0000 0.0000 0.0000
Cd 0.3153 0.3153 0.6847
Ir 0.6387 0.6387 0.3613

=====

A relaxed AlCdIr crystal. Source: Alexandria, functional PBE-GGA.

Properties
* ΔH_f (0 K): -0.136 eV per atom
* space-group type: F-43m (216)
* N(E_F): 1.07 states/eV/cell
* V: 19.47 Å³/atom
* final energy: -13.9 eV for the cell shown
* calculated density: 9.43 g cm⁻³

a = 4.3554 Å, b = 4.3554 Å, c = 4.3554 Å
α = 60.00°, β = 60.00°, γ = 60.00°
Positions (direct):
Al 0.0000 0.0000 0.0000
Cd 0.5000 0.5000 0.5000
Ir 0.2500 0.2500 0.2500

=====

A relaxed AlCd2Ir crystal. Source: Alexandria, functional PBE-GGA.

Properties
* ΔH_f (0 K): -0.196 eV per atom
* space-group type: Pmm2 (25)
* N(E_F): 1.52 states/eV/cell
* V: 18.36 Å³/atom
* final energy: -15.2 eV for the cell shown
* calculated density: 10.04 g cm⁻³

a = 2.9740 Å, b = 3.5575 Å, c = 6.9400 Å
α = 90.00°, β = 90.00°, γ = 90.00°
Positions (direct):
Al 0.0000 0.0000 0.0000
Cd 0.0000 0.0000 0.5842
Cd 0.5000 0.5000 0.2899
Ir 0.5000 0.5000 0.8629

=====

A relaxed Al2Cd2Ir crystal. Source: Alexandria, functional PBE-GGA.

Properties
* ΔH_f (0 K): 0.022 eV per atom
* space-group type: P4/mbm (127)
* offset from the most stable computed form: 0.000 eV/atom
* N(E_F): 6.53 states/eV/cell
* V: 18.65 Å³/atom
* final energy: -36.1 eV for the cell shown
* calculated density: 8.39 g cm⁻³

a = 6.5220 Å, b = 6.5220 Å, c = 4.3843 Å
α = 90.00°, β = 90.00°, γ = 90.00°
Positions (direct):
Al 0.1471 0.3529 0.0000
Al 0.3529 0.8529 0.0000
Al 0.6471 0.1471 0.0000
Al 0.8529 0.6471 0.0000
Cd 0.1653 0.6653 0.5000
Cd 0.3347 0.1653 0.5000
Cd 0.6653 0.8347 0.5000
Cd 0.8347 0.3347 0.5000
Ir 0.0000 0.0000 0.0000
Ir 0.5000 0.5000 0.0000

=====

A relaxed AlCd2Ir crystal. Source: Alexandria, functional PBE-GGA.

Properties
* ΔH_f (0 K): 0.052 eV per atom
* space-group type: C2/m (12)
* N(E_F): 1.84 states/eV/cell
* V: 17.78 Å³/atom
* final energy: -14.2 eV for the cell shown
* calculated density: 10.37 g cm⁻³

a = 5.7239 Å, b = 5.7239 Å, c = 3.0208 Å
α = 104.79°, β = 104.79°, γ = 122.20°
Positions (direct):
Al 0.0000 0.0000 0.0000
Cd 0.0000 0.5000 0.0000
Cd 0.5000 0.0000 0.0000
Ir 0.5000 0.5000 0.0000

=====

A relaxed AlCdIr crystal. Source: Alexandria, functional PBE-GGA.

Properties
* ΔH_f (0 K): -0.252 eV per atom
* space-group type: P-6m2 (187)
* N(E_F): 0.93 states/eV/cell
* V: 16.86 Å³/atom
* final energy: -14.3 eV for the cell shown
* calculated density: 10.89 g cm⁻³

a = 4.3194 Å, b = 4.3194 Å, c = 3.1296 Å
α = 90.00°, β = 90.00°, γ = 120.00°
Positions (direct):
Al 0.0000 0.0000 0.0000
Cd 0.3333 0.6667 0.5000
Ir 0.6667 0.3333 0.0000

=====

A relaxed AlCdIr crystal. Source: Alexandria, functional PBE-GGA.

Properties
* ΔH_f (0 K): -0.309 eV per atom
* space-group type: Imm2 (44)
* N(E_F): 0.96 states/eV/cell
* V: 16.88 Å³/atom
* final energy: -14.4 eV for the cell shown
* calculated density: 10.87 g cm⁻³

a = 5.3291 Å, b = 5.3291 Å, c = 5.3291 Å
α = 147.57°, β = 141.15°, γ = 51.48°
Positions (direct):
Al 0.0000 0.0000 0.0000
Cd 0.7024 0.7024 0.0000
Ir 0.3967 0.3967 0.0000

=====

A relaxed AlCd2Ir crystal. Source: Alexandria, functional PBE-GGA.

Properties
* ΔH_f (0 K): 0.148 eV per atom
* space-group type: I-42d (122)
* N(E_F): 2.69 states/eV/cell
* V: 31.55 Å³/atom
* final energy: -27.7 eV for the cell shown
* calculated density: 5.84 g cm⁻³

a = 7.6824 Å, b = 7.6824 Å, c = 7.6824 Å
α = 95.42°, β = 95.42°, γ = 144.20°
Positions (direct):
Al 0.0000 0.0000 0.0000
Al 0.7500 0.2500 0.5000
Cd 0.3739 0.6250 0.2489
Cd 0.3750 0.6239 0.7489
Cd 0.3761 0.1250 0.7511
Cd 0.8750 0.6261 0.2511
Ir 0.2500 0.7500 0.5000
Ir 0.5000 0.5000 0.0000

=====

A relaxed Al2CdIr2 crystal. Source: Alexandria, functional PBE-GGA.

Properties
* ΔH_f (0 K): -0.416 eV per atom
* space-group type: I4/mmm (139)
* offset from the most stable computed form: 0.178 eV/atom
* N(E_F): 1.85 states/eV/cell
* V: 17.29 Å³/atom
* final energy: -28.2 eV for the cell shown
* calculated density: 10.58 g cm⁻³

a = 6.3738 Å, b = 6.3738 Å, c = 6.3738 Å
α = 144.60°, β = 144.60°, γ = 50.93°
Positions (direct):
Al 0.2500 0.7500 0.5000
Al 0.7500 0.2500 0.5000
Cd 0.0000 0.0000 0.0000
Ir 0.3866 0.3866 0.0000
Ir 0.6134 0.6134 0.0000

=====

A relaxed AlCdIr3 crystal. Source: Alexandria, functional PBE-GGA.

Properties
* ΔH_f (0 K): 2.136 eV per atom
* space-group type: Pm-3m (221)
* offset from the most stable computed form: 1.328 eV/atom
* N(E_F): 8.13 states/eV/cell
* V: 22.25 Å³/atom
* final energy: -20.6 eV for the cell shown
* calculated density: 10.69 g cm⁻³

a = 4.8096 Å, b = 4.8096 Å, c = 4.8096 Å
α = 90.00°, β = 90.00°, γ = 90.00°
Positions (direct):
Al 0.0000 0.0000 0.0000
Cd 0.5000 0.5000 0.5000
Ir 0.0000 0.5000 0.5000
Ir 0.5000 0.0000 0.5000
Ir 0.5000 0.5000 0.0000

=====

A relaxed Al2Cd2Ir crystal. Source: Alexandria, functional PBE-GGA.

Properties
* ΔH_f (0 K): 0.410 eV per atom
* space-group type: I4/mmm (139)
* offset from the most stable computed form: 0.388 eV/atom
* N(E_F): 2.13 states/eV/cell
* V: 19.41 Å³/atom
* final energy: -16.1 eV for the cell shown
* calculated density: 8.06 g cm⁻³

a = 7.7222 Å, b = 7.7222 Å, c = 7.7222 Å
α = 152.65°, β = 152.65°, γ = 39.07°
Positions (direct):
Al 0.0850 0.0850 0.0000
Al 0.9150 0.9150 0.0000
Cd 0.2500 0.7500 0.5000
Cd 0.7500 0.2500 0.5000
Ir 0.5000 0.5000 0.0000

=====

A relaxed AlCd2Ir crystal. Source: Alexandria, functional PBE-GGA.

Properties
* ΔH_f (0 K): 0.038 eV per atom
* space-group type: P2/m (10)
* N(E_F): 2.39 states/eV/cell
* V: 17.80 Å³/atom
* final energy: -14.3 eV for the cell shown
* calculated density: 10.35 g cm⁻³

a = 2.9476 Å, b = 5.1516 Å, c = 4.6900 Å
α = 90.00°, β = 90.20°, γ = 90.00°
Positions (direct):
Al 0.0000 0.0000 0.0000
Cd 0.2498 0.5000 0.7477
Cd 0.7502 0.5000 0.2523
Ir 0.5000 0.0000 0.5000

=====

A relaxed AlCd2Ir crystal. Source: Alexandria, functional PBE-GGA.

Properties
* ΔH_f (0 K): 0.221 eV per atom
* space-group type: P4/mmm (123)
* N(E_F): 2.26 states/eV/cell
* V: 18.63 Å³/atom
* final energy: -13.5 eV for the cell shown
* calculated density: 9.90 g cm⁻³

a = 2.9627 Å, b = 2.9627 Å, c = 8.4891 Å
α = 90.00°, β = 90.00°, γ = 90.00°
Positions (direct):
Al 0.0000 0.0000 0.0000
Cd 0.5000 0.5000 0.2712
Cd 0.5000 0.5000 0.7288
Ir 0.0000 0.0000 0.5000

=====

A relaxed AlCd2Ir crystal. Source: Alexandria, functional PBE-GGA.

Properties
* ΔH_f (0 K): 0.090 eV per atom
* space-group type: Cmmm (65)
* N(E_F): 1.79 states/eV/cell
* V: 17.76 Å³/atom
* final energy: -14.1 eV for the cell shown
* calculated density: 10.38 g cm⁻³

a = 4.9915 Å, b = 4.9915 Å, c = 3.1066 Å
α = 90.00°, β = 90.00°, γ = 113.40°
Positions (direct):
Al 0.0000 0.0000 0.0000
Cd 0.0000 0.5000 0.5000
Cd 0.5000 0.0000 0.5000
Ir 0.5000 0.5000 0.0000

=====

A relaxed AlCd2Ir crystal. Source: Alexandria, functional PBE-GGA.

Properties
* ΔH_f (0 K): -0.057 eV per atom
* space-group type: Cm (8)
* N(E_F): 1.24 states/eV/cell
* V: 17.82 Å³/atom
* final energy: -14.7 eV for the cell shown
* calculated density: 10.34 g cm⁻³

a = 4.9332 Å, b = 4.9332 Å, c = 5.0770 Å
α = 103.17°, β = 103.17°, γ = 36.46°
Positions (direct):
Al 0.0000 0.0000 0.0000
Cd 0.2361 0.2361 0.6837
Cd 0.4708 0.4708 0.4407
Ir 0.7188 0.7188 0.1522

=====

A relaxed Al3CdIr crystal. Source: Alexandria, functional PBE-GGA.

Properties
* ΔH_f (0 K): -0.176 eV per atom
* space-group type: Pm-3m (221)
* offset from the most stable computed form: 0.000 eV/atom
* N(E_F): 0.83 states/eV/cell
* V: 22.25 Å³/atom
* final energy: -21.9 eV for the cell shown
* calculated density: 5.76 g cm⁻³

a = 4.8094 Å, b = 4.8094 Å, c = 4.8094 Å
α = 90.00°, β = 90.00°, γ = 90.00°
Positions (direct):
Al 0.0000 0.0000 0.5000
Al 0.0000 0.5000 0.0000
Al 0.5000 0.0000 0.0000
Cd 0.5000 0.5000 0.5000
Ir 0.0000 0.0000 0.0000

=====

A relaxed AlCd2Ir crystal. Source: Alexandria, functional PBE-GGA.

Properties
* ΔH_f (0 K): 0.266 eV per atom
* space-group type: Cmmm (65)
* N(E_F): 3.33 states/eV/cell
* V: 18.63 Å³/atom
* final energy: -13.4 eV for the cell shown
* calculated density: 9.89 g cm⁻³

a = 2.8665 Å, b = 2.8665 Å, c = 10.3689 Å
α = 90.00°, β = 90.00°, γ = 118.97°
Positions (direct):
Al 0.0000 0.0000 0.0000
Cd 0.5000 0.5000 0.2682
Cd 0.5000 0.5000 0.7318
Ir 0.0000 0.0000 0.5000

=====

A relaxed AlCd2Ir crystal. Source: Alexandria, functional PBE-GGA.

Properties
* ΔH_f (0 K): -0.048 eV per atom
* space-group type: I-4m2 (119)
* N(E_F): 1.46 states/eV/cell
* V: 17.29 Å³/atom
* final energy: -14.6 eV for the cell shown
* calculated density: 10.66 g cm⁻³

a = 5.0236 Å, b = 5.0236 Å, c = 5.0236 Å
α = 131.74°, β = 131.74°, γ = 70.64°
Positions (direct):
Al 0.0000 0.0000 0.0000
Cd 0.2500 0.7500 0.5000
Cd 0.5000 0.5000 0.0000
Ir 0.7500 0.2500 0.5000

=====

A relaxed AlCd2Ir crystal. Source: Alexandria, functional PBE-GGA.

Properties
* ΔH_f (0 K): 0.011 eV per atom
* space-group type: F-43m (216)
* N(E_F): 1.95 states/eV/cell
* V: 17.36 Å³/atom
* final energy: -14.4 eV for the cell shown
* calculated density: 10.62 g cm⁻³

a = 4.6136 Å, b = 4.6136 Å, c = 4.6136 Å
α = 60.00°, β = 60.00°, γ = 60.00°
Positions (direct):
Al 0.0000 0.0000 0.0000
Cd 0.5000 0.5000 0.5000
Cd 0.7500 0.7500 0.7500
Ir 0.2500 0.2500 0.2500

=====

A relaxed Al2CdIr2 crystal. Source: Alexandria, functional PBE-GGA.

Properties
* ΔH_f (0 K): -0.594 eV per atom
* space-group type: P4/mbm (127)
* offset from the most stable computed form: 0.000 eV/atom
* N(E_F): 2.92 states/eV/cell
* V: 15.82 Å³/atom
* final energy: -58.2 eV for the cell shown
* calculated density: 11.56 g cm⁻³

a = 7.3577 Å, b = 7.3577 Å, c = 2.9227 Å
α = 90.00°, β = 90.00°, γ = 90.00°
Positions (direct):
Al 0.1446 0.3554 0.0000
Al 0.3554 0.8554 0.0000
Al 0.6446 0.1446 0.0000
Al 0.8554 0.6446 0.0000
Cd 0.0000 0.0000 0.5000
Cd 0.5000 0.5000 0.5000
Ir 0.1495 0.6495 0.5000
Ir 0.3505 0.1495 0.5000
Ir 0.6495 0.8505 0.5000
Ir 0.8505 0.3505 0.5000

=====

A relaxed AlCdIr4 crystal. Source: Alexandria, functional PBE-GGA.

Properties
* ΔH_f (0 K): 0.199 eV per atom
* space-group type: F-43m (216)
* N(E_F): 5.04 states/eV/cell
* V: 16.74 Å³/atom
* final energy: -38.9 eV for the cell shown
* calculated density: 15.01 g cm⁻³

a = 5.2179 Å, b = 5.2179 Å, c = 5.2179 Å
α = 60.00°, β = 60.00°, γ = 60.00°
Positions (direct):
Al 0.0000 0.0000 0.0000
Cd 0.7500 0.7500 0.7500
Ir 0.3749 0.3749 0.3749
Ir 0.3749 0.3749 0.8753
Ir 0.3749 0.8753 0.3749
Ir 0.8753 0.3749 0.3749

=====

A relaxed AlCd2Ir crystal. Source: Alexandria, functional PBE-GGA.

Properties
* ΔH_f (0 K): 0.198 eV per atom
* space-group type: R-3m (166)
* N(E_F): 2.99 states/eV/cell
* V: 18.12 Å³/atom
* final energy: -13.6 eV for the cell shown
* calculated density: 10.17 g cm⁻³

a = 9.5151 Å, b = 9.5151 Å, c = 9.5151 Å
α = 18.08°, β = 18.08°, γ = 18.08°
Positions (direct):
Al 0.0000 0.0000 0.0000
Cd 0.2470 0.2470 0.2470
Cd 0.7530 0.7530 0.7530
Ir 0.5000 0.5000 0.5000

=====

A relaxed AlCd2Ir crystal. Source: Alexandria, functional PBE-GGA.

Properties
* ΔH_f (0 K): -0.278 eV per atom
* space-group type: C2/m (12)
* N(E_F): 1.22 states/eV/cell
* V: 20.11 Å³/atom
* final energy: -15.5 eV for the cell shown
* calculated density: 9.16 g cm⁻³

a = 7.2331 Å, b = 7.2331 Å, c = 4.1240 Å
α = 106.40°, β = 106.40°, γ = 22.92°
Positions (direct):
Al 0.0000 0.0000 0.0000
Cd 0.1816 0.1816 0.6804
Cd 0.8184 0.8184 0.3196
Ir 0.5000 0.5000 0.5000

=====

A relaxed AlCd2Ir crystal. Source: Alexandria, functional PBE-GGA.

Properties
* ΔH_f (0 K): -0.084 eV per atom
* space-group type: I4/mmm (139)
* N(E_F): 1.27 states/eV/cell
* V: 17.24 Å³/atom
* final energy: -14.8 eV for the cell shown
* calculated density: 10.69 g cm⁻³

a = 5.2536 Å, b = 5.2536 Å, c = 5.2536 Å
α = 136.03°, β = 136.03°, γ = 63.94°
Positions (direct):
Al 0.0000 0.0000 0.0000
Cd 0.2500 0.7500 0.5000
Cd 0.7500 0.2500 0.5000
Ir 0.5000 0.5000 0.0000

=====

A relaxed Al4CdIr crystal. Source: Alexandria, functional PBE-GGA.

Properties
* ΔH_f (0 K): 0.135 eV per atom
* space-group type: F-43m (216)
* N(E_F): 3.64 states/eV/cell
* V: 16.38 Å³/atom
* final energy: -23.9 eV for the cell shown
* calculated density: 6.97 g cm⁻³

a = 5.1798 Å, b = 5.1798 Å, c = 5.1798 Å
α = 60.00°, β = 60.00°, γ = 60.00°
Positions (direct):
Al 0.3757 0.3757 0.3757
Al 0.3757 0.3757 0.8728
Al 0.3757 0.8728 0.3757
Al 0.8728 0.3757 0.3757
Cd 0.0000 0.0000 0.0000
Ir 0.7500 0.7500 0.7500

=====

A relaxed AlCdIr3 crystal. Source: Alexandria, functional PBE-GGA.

Properties
* ΔH_f (0 K): 0.808 eV per atom
* space-group type: Pm-3m (221)
* offset from the most stable computed form: 0.000 eV/atom
* N(E_F): 4.71 states/eV/cell
* V: 18.22 Å³/atom
* final energy: -27.2 eV for the cell shown
* calculated density: 13.05 g cm⁻³

a = 4.4997 Å, b = 4.4997 Å, c = 4.4997 Å
α = 90.00°, β = 90.00°, γ = 90.00°
Positions (direct):
Al 0.0000 0.0000 0.0000
Cd 0.5000 0.5000 0.5000
Ir 0.0000 0.0000 0.5000
Ir 0.0000 0.5000 0.0000
Ir 0.5000 0.0000 0.0000